Density functional theory data (GGA-PBE) for a relaxed structure of Cs5Sn2Ge4.

Cell: 7.7123 7.7123 10.1772 Å, 112.18 112.18 58.55°
Sites, in units of the cell vectors:
Cs: 0.0000 0.0000 0.0000
Cs: 0.1766 0.6655 0.6323
Cs: 0.3345 0.8234 0.3677
Cs: 0.6655 0.1766 0.6323
Cs: 0.8234 0.3345 0.3677
Sn: 0.2098 0.2098 0.7654
Sn: 0.7902 0.7902 0.2346
Ge: 0.2857 0.2857 0.0457
Ge: 0.3017 0.3017 0.2829
Ge: 0.6983 0.6983 0.7171
Ge: 0.7143 0.7143 0.9543

Calculated values
The value obtained for the volume is 466 Å³ per cell. The value obtained for the formation energy is 104 meV per atom. As for the space-group type: C2/m.